VASP calculation (PBE) on crystalline Tb3InPb3 at its relaxed geometry.

Unit cell a=8.9599 b=8.9599 c=5.8261 alpha=90.00 beta=90.00 gamma=120.00
Space group P6_3/m (No. 176)
One atom of each set of equivalent atoms:
1 Tb 0.0919 0.6421 0.2500 x6
2 In 0.3333 0.6667 0.7500 x2
3 Pb 0.0586 0.7957 0.7500 x6

Calculated values
Mass density   9.95 Mg/m³
Energy of formation from the pure elements   -0.30 eV/atom
Fermi-level density of states   6.4 states/eV/f.u.

VASP calculation (PBE) on crystalline Tb2InPb5 at its relaxed geometry.

Unit cell a=6.800 b=13.632 c=4.904 alpha=90.00 beta=90.00 gamma=90.00
Space group Pbam (No. 55)
One atom of each set of equivalent atoms:
1 Tb 0.241 0.127 0.000 x4
2 In 0.000 0.500 0.500 x2
3 Pb 0.000 0.000 0.500 x2
4 Pb 0.007 0.747 0.500 x4
5 Pb 0.240 0.378 0.000 x4

Calculated values
Mass density   10.73 Mg/m³
Energy of formation from the pure elements   -0.32 eV/atom
Fermi-level density of states   3.9 states/eV/f.u.

VASP calculation (PBE) on crystalline Tb6In3Pb at its relaxed geometry.

Unit cell a=9.834 b=17.753 c=6.786 alpha=90.00 beta=90.00 gamma=90.00
Space group Cmc2_1 (No. 36)
One atom of each set of equivalent atoms:
1 Tb 0.000 0.016 0.000 x4
2 Tb 0.000 0.295 0.016 x4
3 Tb 0.181 0.274 0.529 x8
4 Tb 0.192 0.444 0.782 x8
5 In 0.000 0.415 0.385 x4
6 In 0.202 0.112 0.721 x8
7 Pb 0.000 0.151 0.294 x4

Calculated values
Mass density   8.44 Mg/m³
Energy of formation from the pure elements   -0.28 eV/atom
Fermi-level density of states   8.6 states/eV/f.u.

VASP calculation (PBE) on crystalline Tb6In6Pb at its relaxed geometry.

Unit cell a=6.4037 b=6.4037 c=10.5007 alpha=90.00 beta=90.00 gamma=120.00
Space group P6/mmm (No. 191)
One atom of each set of equivalent atoms:
1 Tb 0.0000 0.0000 0.1897 x2
2 Tb 0.3333 0.6667 0.0000 x2
3 Tb 0.3333 0.6667 0.5000 x2
4 In 0.0000 0.5000 0.2482 x6
5 Pb 0.0000 0.0000 0.5000 x1

Calculated values
Mass density   8.24 Mg/m³
Energy of formation from the pure elements   -0.32 eV/atom
Fermi-level density of states   14.0 states/eV/f.u.

VASP calculation (PBE) on crystalline Tb3In2Pb at its relaxed geometry.

Unit cell a=5.3653 b=5.3653 c=6.6228 alpha=90.00 beta=90.00 gamma=120.00
Space group P-3m1 (No. 164)
One atom of each set of equivalent atoms:
1 Tb 0.0000 0.0000 0.0000 x1
2 Tb 0.3333 0.6667 0.6596 x2
3 In 0.3333 0.6667 0.1539 x2
4 Pb 0.0000 0.0000 0.5000 x1

Calculated values
Mass density   9.19 Mg/m³
Energy of formation from the pure elements   -0.45 eV/atom
Fermi-level density of states   2.8 states/eV/f.u.

VASP calculation (PBE) on crystalline Tb3InPb at its relaxed geometry.

Unit cell a=16.206 b=6.386 c=11.159 alpha=90.00 beta=96.40 gamma=90.00
Space group C2/c (No. 15)
One atom of each set of equivalent atoms:
1 Tb 0.044 0.246 0.008 x8
2 Tb 0.101 0.487 0.773 x8
3 Tb 0.196 0.020 0.259 x8
4 In 0.159 0.277 0.526 x8
5 Pb 0.000 0.002 0.250 x4
6 Pb 0.250 0.250 0.000 x4

Calculated values
Mass density   9.25 Mg/m³
Energy of formation from the pure elements   -0.31 eV/atom
Fermi-level density of states   4.6 states/eV/f.u.

VASP calculation (PBE) on crystalline Tb2InPb at its relaxed geometry.

Unit cell a=5.013 b=5.013 c=4.391 alpha=90.00 beta=90.00 gamma=90.00
Space group P4/mmm (No. 123)
One atom of each set of equivalent atoms:
1 Tb 0.000 0.500 0.000 x2
2 In 0.000 0.000 0.500 x1
3 Pb 0.500 0.500 0.500 x1

Calculated values
Mass density   9.63 Mg/m³
Energy of formation from the pure elements   -0.46 eV/atom
Fermi-level density of states   3.2 states/eV/f.u.

VASP calculation (PBE) on crystalline Tb2InPb at its relaxed geometry.

Unit cell a=3.986 b=3.986 c=6.997 alpha=90.00 beta=90.00 gamma=90.00
Space group P4/mmm (No. 123)
One atom of each set of equivalent atoms:
1 Tb 0.000 0.000 0.248 x2
2 In 0.500 0.500 0.000 x1
3 Pb 0.500 0.500 0.500 x1

Calculated values
Mass density   9.56 Mg/m³
Energy of formation from the pure elements   -0.43 eV/atom
Fermi-level density of states   3.3 states/eV/f.u.

VASP calculation (PBE) on crystalline TbIn2Pb2 at its relaxed geometry.

Unit cell a=4.550 b=26.115 c=4.679 alpha=90.00 beta=90.00 gamma=90.00
Space group Cmcm (No. 63)
One atom of each set of equivalent atoms:
1 Tb 0.000 0.145 0.250 x4
2 In 0.000 0.049 0.750 x4
3 In 0.000 0.454 0.750 x4
4 Pb 0.000 0.251 0.750 x4
5 Pb 0.000 0.355 0.250 x4

Calculated values
Mass density   9.59 Mg/m³
Energy of formation from the pure elements   -0.22 eV/atom
Fermi-level density of states   2.6 states/eV/f.u.

VASP calculation (PBE) on crystalline TbIn6Pb at its relaxed geometry.

Unit cell a=6.846 b=6.846 c=4.563 alpha=90.00 beta=90.00 gamma=90.00
Space group P4/mmm (No. 123)
One atom of each set of equivalent atoms:
1 Tb 0.000 0.000 0.000 x1
2 In 0.000 0.500 0.000 x2
3 In 0.248 0.248 0.500 x4
4 Pb 0.500 0.500 0.000 x1

Calculated values
Mass density   8.19 Mg/m³
Energy of formation from the pure elements   -0.14 eV/atom
Fermi-level density of states   5.3 states/eV/f.u.

VASP calculation (PBE) on crystalline Tb6In5Pb at its relaxed geometry.

Unit cell a=5.417 b=7.420 c=16.215 alpha=90.00 beta=90.00 gamma=90.00
Space group Immm (No. 71)
One atom of each set of equivalent atoms:
1 Tb 0.000 0.249 0.000 x4
2 Tb 0.000 0.251 0.333 x8
3 In 0.000 0.000 0.166 x4
4 In 0.000 0.500 0.169 x4
5 In 0.000 0.500 0.500 x2
6 Pb 0.000 0.000 0.500 x2

Calculated values
Mass density   8.84 Mg/m³
Energy of formation from the pure elements   -0.46 eV/atom
Fermi-level density of states   5.9 states/eV/f.u.

VASP calculation (PBE) on crystalline Tb2InPb at its relaxed geometry.

Unit cell a=4.362 b=4.609 c=11.567 alpha=90.00 beta=90.00 gamma=90.00
Space group Amm2 (No. 38)
One atom of each set of equivalent atoms:
1 Tb 0.000 0.000 0.000 x2
2 Tb 0.500 0.000 0.269 x2
3 In 0.000 0.000 0.728 x2
4 Pb 0.500 0.000 0.545 x2

Calculated values
Mass density   9.14 Mg/m³
Energy of formation from the pure elements   -0.49 eV/atom
Fermi-level density of states   3.5 states/eV/f.u.

VASP calculation (PBE) on crystalline Tb2InPb at its relaxed geometry.

Unit cell a=6.222 b=4.361 c=9.015 alpha=90.00 beta=108.07 gamma=90.00
Space group P2_1/m (No. 11)
One atom of each set of equivalent atoms:
1 Tb 0.198 0.250 0.433 x2
2 Tb 0.295 0.750 0.067 x2
3 In 0.114 0.250 0.796 x2
4 Pb 0.389 0.750 0.704 x2

Calculated values
Mass density   9.14 Mg/m³
Energy of formation from the pure elements   -0.48 eV/atom
Fermi-level density of states   3.4 states/eV/f.u.

VASP calculation (PBE) on crystalline Tb2InPb2 at its relaxed geometry.

Unit cell a=5.110 b=17.383 c=3.574 alpha=90.00 beta=90.00 gamma=90.00
Space group Pbam (No. 55)
One atom of each set of equivalent atoms:
1 Tb 0.001 0.181 0.000 x4
2 In 0.000 0.000 0.000 x2
3 Pb 0.001 0.364 0.500 x4

Calculated values
Mass density   8.86 Mg/m³
Energy of formation from the pure elements   -0.17 eV/atom
Fermi-level density of states   4.7 states/eV/f.u.

VASP calculation (PBE) on crystalline Tb3InPb2 at its relaxed geometry.

Unit cell a=12.630 b=4.736 c=11.655 alpha=90.00 beta=90.00 gamma=90.00
Space group Pnma (No. 62)
One atom of each set of equivalent atoms:
1 Tb 0.034 0.250 0.125 x4
2 Tb 0.142 0.750 0.579 x4
3 Tb 0.203 0.250 0.818 x4
4 In 0.147 0.250 0.363 x4
5 Pb 0.003 0.750 0.327 x4
6 Pb 0.178 0.750 0.038 x4

Calculated values
Mass density   9.59 Mg/m³
Energy of formation from the pure elements   -0.41 eV/atom
Fermi-level density of states   3.6 states/eV/f.u.

VASP calculation (PBE) on crystalline Tb2InPb at its relaxed geometry.

Unit cell a=3.7641 b=3.7641 c=29.0219 alpha=90.00 beta=90.00 gamma=120.00
Space group R-3m (No. 166, hexagonal axes)
One atom of each set of equivalent atoms:
1 Tb 0.0000 0.0000 0.2483 x6
2 In 0.0000 0.0000 0.5000 x3
3 Pb 0.0000 0.0000 0.0000 x3

Calculated values
Mass density   8.95 Mg/m³
Energy of formation from the pure elements   -0.33 eV/atom
Fermi-level density of states   3.7 states/eV/f.u.

VASP calculation (PBE) on crystalline TbInPb3 at its relaxed geometry.

Unit cell a=5.027 b=6.560 c=9.729 alpha=90.00 beta=90.00 gamma=90.00
Space group Pmmn (No. 59, origin choice 2)
One atom of each set of equivalent atoms:
1 Tb 0.250 0.250 0.096 x2
2 In 0.250 0.750 0.439 x2
3 Pb 0.250 0.502 0.735 x4
4 Pb 0.250 0.750 0.100 x2

Calculated values
Mass density   9.27 Mg/m³
Energy of formation from the pure elements   -0.07 eV/atom
Fermi-level density of states   2.7 states/eV/f.u.

VASP calculation (PBE) on crystalline TbThInPb at its relaxed geometry.

Unit cell a=7.743 b=7.743 c=7.743 alpha=90.00 beta=90.00 gamma=90.00
Space group F-43m (No. 216)
One atom of each set of equivalent atoms:
1 Tb 0.000 0.000 0.000 x4
2 Th 0.000 0.000 0.500 x4
3 In 0.250 0.250 0.250 x4
4 Pb 0.250 0.250 0.750 x4

Calculated values
Mass density   10.20 Mg/m³
Energy of formation from the pure elements   -0.28 eV/atom
Fermi-level density of states   4.1 states/eV/f.u.

VASP calculation (PBE) on crystalline InTcPb4 at its relaxed geometry.

Unit cell a=9.017 b=9.017 c=9.017 alpha=90.00 beta=90.00 gamma=90.00
Space group F-43m (No. 216)
One atom of each set of equivalent atoms:
1 In 0.000 0.000 0.000 x4
2 Tc 0.250 0.250 0.250 x4
3 Pb 0.125 0.125 0.625 x16

Calculated values
Mass density   9.44 Mg/m³
Energy of formation from the pure elements   0.80 eV/atom
Fermi-level density of states   5.3 states/eV/f.u.

VASP calculation (PBE) on crystalline In2TcPb at its relaxed geometry.

Unit cell a=3.675 b=4.451 c=5.791 alpha=90.00 beta=108.19 gamma=90.00
Space group Pm (No. 6)
One atom of each set of equivalent atoms:
1 In 0.000 0.000 0.000 x1
2 In 0.417 0.500 0.832 x1
3 Tc 0.268 0.000 0.538 x1
4 Pb 0.690 0.500 0.375 x1

Calculated values
Mass density   9.87 Mg/m³
Energy of formation from the pure elements   0.39 eV/atom
Fermi-level density of states   2.8 states/eV/f.u.